# 1
Material: Ac2Pr6Er
Method: DFT, PBE
State: optimized geometry

Lattice parameters (Å, degrees): 3.7591 3.7591 27.7755 90.00 90.00 120.00
With the nearest neighbours (Å) after each atom.
Fractional coordinates of all 9 atoms:
Pr 0.3333 0.6667 0.5620  7 Pr 3.44-3.76, 3 Ac 3.76
Pr 0.3333 0.6667 0.2112  9 Pr 3.71-3.76, 3 Ac 3.89
Pr 0.3333 0.6667 0.4380  7 Pr 3.44-3.76, 3 Ac 3.76
Pr 0.3333 0.6667 0.7888  9 Pr 3.71-3.76, 3 Ac 3.89
Pr 0.6667 0.3333 0.1030  3 Er 3.59, 9 Pr 3.71-3.76
Pr 0.6667 0.3333 0.8970  3 Er 3.59, 9 Pr 3.71-3.76
Ac 0.6667 0.3333 0.6727  6 Ac 3.76, 6 Pr 3.76-3.89
Ac 0.6667 0.3333 0.3273  6 Ac 3.76, 6 Pr 3.76-3.89
Er 0.3333 0.6667 0.0000  6 Pr 3.59, 6 Er 3.76

Summary:
For the magnetization, the calculation gives 0.00 μB per atom. The energy above the lowest structure with this stoichiometry is 0 meV/atom.

***

# 2
Material: CoCu2Au
Method: DFT, PBE
State: optimized geometry

Lattice parameters (Å, degrees): 2.7255 2.7255 7.2075 90.00 90.00 90.03
With the nearest neighbours (Å) after each atom.
Fractional coordinates of all 4 atoms:
Au 0.0000 0.0000 0.5022  4 Au 2.73, 4 Co 2.75, 4 Cu 2.77
Cu 0.0000 0.0000 0.9977  4 Co 2.51, 8 Cu 2.53-2.73
Cu 0.5000 0.5000 0.2260  8 Cu 2.53-2.73, 4 Au 2.77
Co 0.5000 0.5000 0.7741  4 Cu 2.51, 4 Co 2.73, 4 Au 2.75

Summary:
For the magnetization, the calculation gives 0.40 μB per atom. As for the total energy: -4.50 eV/atom.

***

# 3
Material: Tb3Sm2Er9
Method: DFT, PBE
State: optimized geometry

Lattice parameters (Å, degrees): 5.3654 14.8328 10.4915 45.38 51.49 55.04
With the nearest neighbours (Å) after each atom.
Fractional coordinates of all 14 atoms:
Sm 0.4975 0.7589 0.2604  5 Er 3.34-3.73, 2 Tb 3.44-3.69
Sm 0.5008 0.2407 0.7388  6 Er 3.35-3.75, 2 Tb 3.44-3.67
Er 0.9627 0.4881 0.2248  3 Tb 3.05-3.37, 1 Er 3.17
Er 0.8301 0.9351 0.7543  6 Er 3.29-3.67, 2 Tb 3.33-3.42, 1 Sm 3.50
Er 0.1693 0.0650 0.2452  6 Er 3.30-3.68, 2 Tb 3.33-3.42, 1 Sm 3.50
Er 0.0350 0.5112 0.7785  3 Tb 3.05-3.35, 1 Er 3.14
Er 0.0047 0.5035 0.4968  2 Er 3.14-3.17, 2 Sm 3.36-3.37
Er 0.5872 0.2984 0.0055  7 Er 3.39-3.64, 4 Tb 3.48-3.79, 2 Sm 3.75-3.77
Er 0.7210 0.8619 0.5052  1 Tb 3.17, 3 Er 3.30-3.39, 1 Sm 3.34
Er 0.2808 0.1367 0.4948  1 Tb 3.17, 3 Er 3.29-3.39, 1 Sm 3.35
Er 0.4129 0.7018 0.9941  7 Er 3.39-3.64, 4 Tb 3.47-3.79, 2 Sm 3.75-3.76
Tb 0.3024 0.6671 0.7385  5 Er 3.05-3.37
Tb 0.9990 0.9995 0.0002  6 Er 3.42-3.67, 2 Sm 3.44
Tb 0.6967 0.3323 0.2629  5 Er 3.05-3.35

Summary:
For the magnetization, the calculation gives 0.00 μB per atom. As for the total energy: -4.42 eV/atom.

***

# 4
Material: AlAsCl2
Method: DFT, PBE
State: optimized geometry

Lattice parameters (Å, degrees): 5.2219 5.2219 3.1438 90.00 90.00 106.46
With the nearest neighbours (Å) after each atom.
Fractional coordinates of all 4 atoms:
As 0.0000 0.5000 0.5000  8 Cl 3.05, 2 Al 3.13, 2 As 3.14
Cl 0.5000 0.5000 0.0000  4 Al 3.05, 4 As 3.05, 4 Cl 3.13-3.14
Cl 0.0000 0.0000 0.0000  4 As 3.05, 4 Al 3.05, 4 Cl 3.13-3.14
Al 0.5000 0.0000 0.5000  8 Cl 3.05, 2 As 3.13, 2 Al 3.14

Summary:
For the magnetization, the calculation gives 0.00 μB per atom. The value obtained for the raw formation energy is 0.8 eV/f.u. The energy above the lowest structure with this stoichiometry is 814 meV/atom.

***

# 5
Material: KTc
Method: DFT, PBE
State: optimized geometry

Lattice parameters (Å, degrees): 6.2126 6.2126 6.2126 26.09 26.09 26.09
With the nearest neighbours (Å) after each atom.
Fractional coordinates of all 2 atoms:
Tc 0.5000 0.5000 0.5000  6 Tc 2.80
K 0.0000 0.0000 0.0000  6 K 2.80

Summary:
For the magnetization, the calculation gives 0.00 μB per atom. The energy above the lowest structure with this stoichiometry is 618 meV/atom.

***

# 6
Material: Ca2GeCCl
Method: DFT, PBE
State: optimized geometry

Lattice parameters (Å, degrees): 5.2108 4.7977 5.2108 90.00 90.00 90.00
With the nearest neighbours (Å) after each atom.
Fractional coordinates of all 5 atoms:
Ca 0.0000 0.0000 0.5000  2 Cl 2.61
Ca 0.5000 0.0000 0.0000  2 Cl 2.61
Ge 0.0000 0.5000 0.0000  2 Cl 2.40
C 0.5000 0.5000 0.5000  8 Ca 3.54, 4 Ge 3.68
Cl 0.0000 0.0000 0.0000  2 Ge 2.40, 4 Ca 2.61

Summary:
For the magnetization, the calculation gives 0.00 μB per atom. The value obtained for the raw formation energy is 4.0 eV/f.u.

***

# 7
Material: MgH10Se2O10
Method: DFT, PBE
State: optimized geometry

Lattice parameters (Å, degrees): 8.3227 8.3227 11.1707 57.15 57.15 54.82
With the nearest neighbours (Å) after each atom.
Fractional coordinates of all 46 atoms:
O 0.1474 0.4314 0.7282  1 H 1.02
O 0.3046 0.3880 0.4543  2 H 0.99-1.00
O 0.9373 0.8383 0.6865  1 H 1.65, 1 Se 1.71
O 0.1044 0.1834 0.0180  1 H 1.69, 1 Se 1.70
O 0.8166 0.8956 0.4820  1 H 1.69, 1 Se 1.70
O 0.6928 0.3072 0.2500  2 H 0.99
O 0.8526 0.5686 0.2718  1 H 1.02
O 0.3072 0.6928 0.7500  2 H 0.99
O 0.8956 0.8166 0.9820  1 H 1.69, 1 Se 1.70
O 0.6120 0.6954 0.0457  2 H 0.99-1.00
O 0.4314 0.1474 0.2282  1 H 1.02
O 0.0627 0.1617 0.3135  1 H 1.65, 1 Se 1.71
O 0.5686 0.8526 0.7718  1 H 1.02
O 0.8383 0.9373 0.1865  1 H 1.65, 1 Se 1.71
O 0.3880 0.3046 0.9543  2 H 0.99-1.00
O 0.1834 0.1044 0.5180  1 H 1.69, 1 Se 1.70
O 0.6954 0.6120 0.5457  2 H 0.99-1.00
O 0.2264 0.7736 0.2500  2 H 1.00
O 0.7736 0.2264 0.7500  2 H 1.00
O 0.1617 0.0627 0.8135  1 H 1.65, 1 Se 1.71
H 0.5554 0.3250 0.3327  1 O 0.99
H 0.7103 0.7456 0.0274  1 O 1.00
H 0.9436 0.4154 0.2804  1 O 1.02
H 0.7585 0.3667 0.6697  1 O 1.00
H 0.6012 0.7463 0.9457  1 O 0.99
H 0.2415 0.6333 0.3303  1 O 1.00
H 0.0564 0.5846 0.7196  1 O 1.02
H 0.2897 0.2544 0.9726  1 O 1.00
H 0.3250 0.5554 0.8327  1 O 0.99
H 0.3667 0.7585 0.1697  1 O 1.00
H 0.7456 0.7103 0.5274  1 O 1.00
H 0.6750 0.4446 0.1673  1 O 0.99
H 0.7463 0.6012 0.4457  1 O 0.99
H 0.2537 0.3988 0.5543  1 O 0.99
H 0.6333 0.2415 0.8303  1 O 1.00
H 0.2544 0.2897 0.4726  1 O 1.00
H 0.4154 0.9436 0.7804  1 O 1.02
H 0.3988 0.2537 0.0543  1 O 0.99
H 0.4446 0.6750 0.6673  1 O 0.99
H 0.5846 0.0564 0.2196  1 O 1.02
Se 0.7364 0.9892 0.6164  3 O 1.70-1.82
Se 0.9892 0.7364 0.1164  3 O 1.70-1.82
Se 0.2636 0.0108 0.3836  3 O 1.70-1.82
Se 0.0108 0.2636 0.8836  3 O 1.70-1.82
Mg 0.0418 0.9582 0.7500  6 O 2.03-2.17
Mg 0.9582 0.0418 0.2500  6 O 2.03-2.17

Summary:
For the magnetization, the calculation gives 0.00 μB per atom. As for the total energy: -5.14 eV/atom.

***

# 8
Material: Ce2Pm3Ru4
Method: DFT, PBE
State: optimized geometry

Lattice parameters (Å, degrees): 6.0595 8.8583 8.8583 68.53 80.06 80.06
With the nearest neighbours (Å) after each atom.
Fractional coordinates of all 18 atoms:
Ru 0.4946 0.4349 0.1603  1 Ce 2.37, 1 Ru 2.64
Ru 0.0054 0.8397 0.5651  1 Ce 2.37, 1 Ru 2.64
Ru 0.9946 0.1603 0.4349  1 Ce 2.37, 1 Ru 2.64
Ru 0.1198 0.6811 0.0560  1 Ce 2.53
Ru 0.5054 0.5651 0.8397  1 Ce 2.37, 1 Ru 2.64
Ru 0.8802 0.3189 0.9440  1 Ce 2.53
Ru 0.3802 0.9440 0.3189  1 Ce 2.53
Ru 0.6198 0.0560 0.6811  1 Ce 2.53
Ce 0.5300 0.7899 0.5902  2 Ru 2.37-2.53
Ce 0.0300 0.5902 0.7899  2 Ru 2.37-2.53
Ce 0.9700 0.4098 0.2101  2 Ru 2.37-2.53
Ce 0.4700 0.2101 0.4098  2 Ru 2.37-2.53
Pm 0.8933 0.9916 0.2070  5 Ru 2.98-3.18
Pm 0.7500 0.3711 0.6289  4 Ru 2.88-3.02
Pm 0.1067 0.0084 0.7930  5 Ru 2.98-3.18
Pm 0.2500 0.6289 0.3711  4 Ru 2.88-3.02
Pm 0.3933 0.2070 0.9916  5 Ru 2.98-3.18
Pm 0.6067 0.7930 0.0084  5 Ru 2.98-3.18

Summary:
For the magnetization, the calculation gives 0.00 μB per atom. The energy above the lowest structure with this stoichiometry is 16 meV/atom.